Entry 1:
V2Mo3Rh8 | PBE-GGA | optimized geometry

Formation enthalpy at 0 K in kcal/mol of atoms: 4.436
SG: R-3m, No. 166

Cell and atoms, written as POSCAR:
```
V2Mo3Rh8
1.0
5.059 0.000 0.000
2.529 4.381 0.000
2.529 1.460 9.098
Rh Mo V
8 3 2
Direct
0.266 0.266 0.695 Rh
0.734 0.228 0.305 Rh
0.282 0.282 0.153 Rh
0.772 0.266 0.695 Rh
0.228 0.734 0.305 Rh
0.266 0.772 0.695 Rh
0.734 0.734 0.305 Rh
0.718 0.718 0.847 Rh
0.812 0.812 0.564 Mo
0.188 0.188 0.436 Mo
0.000 0.000 0.000 Mo
0.637 0.637 0.090 V
0.363 0.363 0.910 V
```

Entry 2:
ZnIn2Re | PBE-GGA | optimized geometry

Formation enthalpy at 0 K in kcal/mol of atoms: 11.528
SG: Cmmm, No. 65

Cell and atoms, written as POSCAR:
```
ZnIn2Re
1.0
5.044 0.045 -0.003
-1.674 4.758 -0.003
0.002 0.002 3.025
Zn In Re
1 2 1
Direct
0.000 0.500 0.500 Zn
0.000 0.000 0.000 In
0.500 0.500 0.000 In
0.500 0.000 0.500 Re
```

Entry 3:
SrZnGa | PBE-GGA | optimized geometry

Formation enthalpy at 0 K in kcal/mol of atoms: 7.000
SG: I4mm, No. 107

Cell and atoms, written as POSCAR:
```
SrZnGa
1.0
-0.412 3.397 -0.820
0.177 -0.804 -3.421
-7.531 -2.264 1.952
Zn Ga Sr
1 1 1
Direct
0.774 0.774 0.548 Zn
0.936 0.936 0.871 Ga
0.140 0.140 0.280 Sr
```

Entry 4:
Tl4Pd2Pt | PBE-GGA | optimized geometry

Formation enthalpy at 0 K in kcal/mol of atoms: -3.170
SG: C2/m, No. 12

Cell and atoms, written as POSCAR:
```
Tl4Pd2Pt
1.0
4.198 0.000 -1.453
-0.625 5.518 -1.805
0.016 0.275 6.838
Pd Tl Pt
2 4 1
Direct
0.215 0.332 0.429 Pd
0.785 0.668 0.571 Pd
0.829 0.197 0.657 Tl
0.171 0.803 0.343 Tl
0.569 0.309 0.138 Tl
0.431 0.691 0.862 Tl
0.000 0.000 0.000 Pt
```

Entry 5:
TaBe2O | PBE-GGA | optimized geometry

Raw formation energy in eV/atom: -0.436
SG: I-42d, No. 122

Cell and atoms, written as POSCAR:
```
TaBe2O
1.0
-3.524 3.206 1.940
-3.509 -1.888 -3.252
-4.403 -1.736 1.691
Be O Ta
4 2 2
Direct
0.275 0.625 0.250 Be
0.475 0.125 0.250 Be
0.375 0.525 0.750 Be
0.875 0.725 0.750 Be
0.250 0.750 0.500 O
0.500 0.500 0.000 O
0.750 0.250 0.500 Ta
0.000 0.000 0.000 Ta
```

Entry 6:
KB3C | PBE-GGA | optimized geometry

ΔE to the lowest computed polymorph in eV/atom: 2.143
Formation enthalpy at 0 K in kcal/mol of atoms: 105.135
SG: Pm-3m, No. 221

Cell and atoms, written as POSCAR:
```
KB3C
1.0
5.144 0.000 0.000
0.000 5.144 0.000
0.000 0.000 5.144
B C K
3 1 1
Direct
0.000 0.000 0.500 B
0.000 0.500 0.000 B
0.500 0.000 0.000 B
0.500 0.500 0.500 C
0.000 0.000 0.000 K
```

Entry 7:
BaHoGa2Pd2 | PBE-GGA | optimized geometry

Formation enthalpy at 0 K in kcal/mol of atoms: -17.480
SG: P-3m1, No. 164

Cell and atoms, written as POSCAR:
```
BaHoGa2Pd2
1.0
4.555 0.000 0.000
-2.277 3.945 0.000
0.000 0.000 7.926
Ga Ho Pd Ba
2 1 2 1
Direct
0.333 0.667 0.305 Ga
0.667 0.333 0.695 Ga
0.000 0.000 0.500 Ho
0.667 0.333 0.313 Pd
0.333 0.667 0.687 Pd
0.000 0.000 0.000 Ba
```

Entry 8:
Tb2Tm3Sc7 | PBE-GGA | optimized geometry

ΔE to the lowest computed polymorph in eV/atom: 0.000
Formation enthalpy at 0 K in kcal/mol of atoms: 2.338
SG: P2/m, No. 10

Cell and atoms, written as POSCAR:
```
Tb2Tm3Sc7
1.0
3.418 0.000 0.000
0.000 5.419 0.264
0.000 -1.778 17.524
Sc Tb Tm
7 2 3
Direct
0.000 0.696 0.141 Sc
0.000 0.000 0.000 Sc
0.000 0.304 0.859 Sc
0.500 0.803 0.827 Sc
0.500 0.257 0.537 Sc
0.500 0.197 0.173 Sc
0.500 0.743 0.463 Sc
0.500 0.291 0.709 Tb
0.500 0.709 0.291 Tb
0.500 0.500 0.000 Tm
0.000 0.776 0.630 Tm
0.000 0.224 0.370 Tm
```

Entry 9:
AcHg2Pt | PBE-GGA | optimized geometry

ΔE to the lowest computed polymorph in eV/atom: 0.875
Formation enthalpy at 0 K in kcal/mol of atoms: 5.580
SG: R-3m, No. 166

Cell and atoms, written as POSCAR:
```
AcHg2Pt
1.0
-2.996 0.328 -3.064
-4.166 -0.018 1.057
-2.230 8.699 0.096
Ac Hg Pt
1 2 1
Direct
0.000 0.000 0.000 Ac
0.878 0.878 0.367 Hg
0.122 0.122 0.633 Hg
0.500 0.500 0.500 Pt
```

Entry 10:
Ti6Ga5Mo | PBE-GGA | optimized geometry

ΔE to the lowest computed polymorph in eV/atom: 0.156
Formation enthalpy at 0 K in kcal/mol of atoms: -6.204
SG: C2/m, No. 12

Cell and atoms, written as POSCAR:
```
Ti6Ga5Mo
1.0
9.063 -0.458 0.000
1.604 4.556 0.000
0.802 2.278 4.654
Ti Mo Ga
6 1 5
Direct
0.249 0.572 0.328 Ti
0.249 0.900 0.672 Ti
0.762 0.746 0.000 Ti
0.751 0.428 0.672 Ti
0.238 0.254 0.000 Ti
0.751 0.100 0.328 Ti
0.000 0.000 0.000 Mo
0.000 0.675 0.650 Ga
0.000 0.325 0.350 Ga
0.500 0.164 0.672 Ga
0.500 0.836 0.328 Ga
0.500 0.500 0.000 Ga
```

Entry 11:
FePt2Rh | PBE-GGA | optimized geometry

Formation enthalpy at 0 K in kcal/mol of atoms: -3.382
SG: I-4m2, No. 119

Cell and atoms, written as POSCAR:
```
FePt2Rh
1.0
-0.536 1.635 -4.414
-3.845 -1.978 -1.935
0.649 2.237 4.126
Pt Rh Fe
2 1 1
Direct
0.750 0.250 0.500 Pt
0.000 0.000 0.000 Pt
0.500 0.500 0.000 Rh
0.250 0.750 0.500 Fe
```

Entry 12:
ReBr | PBE-GGA | optimized geometry

ΔE to the lowest computed polymorph in eV/atom: 0.228
Raw formation energy in eV/atom: 0.459
SG: Pmmn, No. 59

Cell and atoms, written as POSCAR:
```
ReBr
1.0
3.283 0.000 0.000
0.000 9.573 0.000
0.000 0.000 11.649
Br Re
6 6
Direct
0.000 0.467 0.000 Br
0.000 0.847 0.204 Br
0.000 0.847 0.796 Br
0.500 0.153 0.704 Br
0.500 0.153 0.296 Br
0.500 0.533 0.500 Br
0.500 0.909 0.400 Re
0.500 0.909 0.600 Re
0.000 0.091 0.900 Re
0.000 0.091 0.100 Re
0.000 0.747 0.500 Re
0.500 0.253 0.000 Re
```